NiGeP2O: optimized geometry, PBE+U.

Output
- E_tot (eV per formula unit) = -19.4
- theoretical density (Mg/m³) = 4.86

abc: 4.0328 4.0328 4.3991
angles: 90.00 90.00 90.00
Last column: nearest neighbours and their distance in Å.
Space group P4/mmm (No. 123)
Unique sites:
Ni1 0.0000 0.0000 0.0000 [1 per cell]  4 Ge 2.85, 8 P 2.98
Ge1 0.5000 0.5000 0.0000 [1 per cell]  2 O 2.20
P1 0.0000 0.5000 0.5000 [2 per cell]  2 O 2.02
O1 0.5000 0.5000 0.5000 [1 per cell]  4 P 2.02, 2 Ge 2.20